Record 1
Here is an optimized crystal structure of Th2BiPd from Alexandria via LeMat-Bulk. Energies are from GGA-PBE.

Lattice parameters (Å, degrees): 4.2602 6.5062 8.8665 111.77 90.00 90.00
Closest atoms and distances in Å follow each position.
Positions (direct):
Th (0.7500, 0.2014, 0.4512)  3 Pd 3.02-3.32, 2 Bi 3.34
Th (0.2500, 0.7986, 0.5488)  3 Pd 3.02-3.32, 2 Bi 3.34
Th (0.2500, 0.7787, 0.1043)  2 Pd 2.98, 3 Bi 3.28-3.33
Th (0.7500, 0.2213, 0.8957)  2 Pd 2.98, 3 Bi 3.28-3.33
Bi (0.2500, 0.3177, 0.2031)  2 Pd 2.94, 1 Th 3.28
Bi (0.7500, 0.6823, 0.7969)  2 Pd 2.94, 1 Th 3.28
Pd (0.7500, 0.6527, 0.2882)  2 Bi 2.94, 4 Th 2.98-3.02
Pd (0.2500, 0.3473, 0.7118)  2 Bi 2.94, 4 Th 2.98-3.02

The symmetry is No. 11. The calculation puts the formation energy at -616 meV per atom.

Record 2
Here is an optimized crystal structure of CaGa2As2 from Alexandria via LeMat-Bulk. Energies are from GGA-PBE.

Lattice parameters (Å, degrees): 7.5847 7.5847 3.9005 90.00 90.00 90.00
Closest atoms and distances in Å follow each position.
Positions (direct):
As (0.3781, 0.8781, 0.0000)  1 As 2.61, 4 Ga 2.87
As (0.8781, 0.6219, 0.0000)  1 As 2.61, 4 Ga 2.87
As (0.6219, 0.1219, 0.0000)  1 As 2.61, 4 Ga 2.87
As (0.1219, 0.3781, 0.0000)  1 As 2.61, 4 Ga 2.87
Ca (0.0000, 0.0000, 0.0000)  4 As 3.01
Ca (0.5000, 0.5000, 0.0000)  4 As 3.01
Ga (0.1534, 0.6534, 0.5000)  6 As 2.87-3.10
Ga (0.6534, 0.8466, 0.5000)  6 As 2.87-3.10
Ga (0.8466, 0.3466, 0.5000)  6 As 2.87-3.10
Ga (0.3466, 0.1534, 0.5000)  6 As 2.87-3.10

The symmetry is No. 127. The calculation puts the formation energy at -264 meV per atom.

Record 3
Here is an optimized crystal structure of IrRu4Pt from Alexandria via LeMat-Bulk. Energies are from GGA-PBE.

Lattice parameters (Å, degrees): 3.2975 3.2975 8.1685 90.00 90.00 89.99
Closest atoms and distances in Å follow each position.
Positions (direct):
Ir (0.5000, 0.5000, 0.5000)  10 Ru 2.67-2.69
Ru (0.5000, 0.5000, 0.8273)  1 Ir 2.67, 5 Ru 2.69-2.82, 4 Pt 2.73
Ru (0.5000, 0.5000, 0.1727)  1 Ir 2.67, 5 Ru 2.69-2.82, 4 Pt 2.73
Ru (0.0000, 0.0000, 0.3370)  5 Ru 2.66-2.69, 4 Ir 2.68-2.69, 1 Pt 2.75
Ru (0.0000, 0.0000, 0.6630)  5 Ru 2.66-2.69, 4 Ir 2.68-2.69, 1 Pt 2.75
Pt (0.0000, 0.0000, 0.0000)  10 Ru 2.73-2.75

The symmetry is No. 123. The calculation puts the formation energy at 368 meV per atom.

E_tot readings, ordered: -6.5939; -3.7352; -8.2994 eV per atom
Excess energy over the best structure of this formula in the dataset readings, ordered: 0.000; 0.377; 0.000 eV per atom
Density of states at the Fermi level readings, ordered: 7.36; 3.21; 7.86 states/eV per cell